{
  "formula": "CsNbSN2",
  "functional": "PBE",
  "state": "relaxed",
  "lattice": [[4.166, 0.000, 0.000], [0.000, 4.166, 0.000], [0.000, 0.000, 6.110]],
  "species": ["N", "N", "Cs", "Nb", "S"],
  "fractional_positions": [[0.000, 0.500, 0.000], [0.500, 0.000, 0.000], [0.000, 0.000, 0.000], [0.500, 0.500, 0.500], [0.000, 0.000, 0.500]],
  "magnetic_moment_mub_per_cell": 1.996,
  "rho_kg_m3": 4477,
  "formation_energy_uncorrected_mev_per_atom": 2529,
  "spacegroup": "P4/mmm, No. 123"
}